Cs2NbTlF6: relaxed, PBE.

Output
formation energy from raw total energies = -25.51 eV/f.u.
energy above the lowest structure with this stoichiometry = 0.000 eV/atom
electronic total energy = -5.0878 eV per atom
total magnetization = 2.0 μB/f.u.

Cell: 9.625 9.625 9.625 Å, 90.00 90.00 90.00°
Space group Fm-3m (No. 225)
Inequivalent atoms, fractional coordinates:
Cs (0.250, 0.250, 0.250)
Nb (0.000, 0.000, 0.000)
Tl (0.000, 0.000, 0.500)
F (0.000, 0.000, 0.220)